*i*
Pm2ErZn: optimized geometry, PBE.

a b c (Å): 3.6423 3.6423 10.6168
angles (deg): 80.12 80.12 60.00
Last column: nearest neighbours and their distance in Å.
Fractional positions:
Pm1 0.0738 0.0738 0.7786  3 Zn 3.12
Pm2 0.2597 0.2597 0.2209  3 Zn 3.11
Zn1 0.6665 0.6665 0.0004  6 Pm 3.11-3.12
Er1 0.5000 0.5000 0.5000  6 Pm 3.58-3.59, 6 Er 3.64

## Properties
magnetization: 0.00 μB/f.u.
D(E_F): 5.60 states/eV per cell
crystal system: trigonal

---

*ii*
Pm2ErZn: optimized geometry, PBE.

a b c (Å): 3.6365 3.6365 8.6577
angles (deg): 90.00 90.00 90.00
Last column: nearest neighbours and their distance in Å.
Fractional positions:
Er1 0.5000 0.5000 0.5000  8 Pm 3.58, 4 Er 3.64
Zn1 0.5000 0.5000 0.0000  8 Pm 3.16
Pm1 0.0000 0.0000 0.2119  4 Zn 3.16
Pm2 0.0000 0.0000 0.7881  4 Zn 3.16

## Properties
magnetization: 0.00 μB/f.u.
D(E_F): 3.92 states/eV per cell
crystal system: tetragonal

---

Which of them is the least stable? Correct choice: *i*.